Entry a
9
Lattice="3.515 0.000 0.000 0.000 7.923 4.777 0.000 -7.923 4.777" Properties=species:S:1:pos:R:3 comment="Ca6In2N PBE relaxed" space_group="No. 38" dos_at_fermi_per_ev_cell=4.47 pbc="T T T"
Ca 0.000 0.000 0.000
Ca 0.000 -1.587 6.950
Ca 0.000 1.587 6.950
Ca 1.758 -4.774 5.766
Ca 1.758 0.000 3.530
Ca 1.758 4.774 5.766
In 0.000 -2.866 3.782
In 0.000 2.866 3.782
N 1.758 0.000 7.754

***

Entry b
9
Lattice="0.000 5.045 5.045 5.045 0.000 5.045 5.045 5.045 0.000" Properties=species:S:1:pos:R:3 comment="Ca6In2N PBE relaxed" space_group="No. 225" dos_at_fermi_per_ev_cell=8.96 pbc="T T T"
Ca 5.045 5.045 2.401
Ca 5.045 2.401 5.045
Ca 7.689 5.045 5.045
Ca 2.401 5.045 5.045
Ca 5.045 7.689 5.045
Ca 5.045 5.045 7.689
In 2.522 2.522 2.522
In 7.567 7.567 7.567
N 0.000 0.000 0.000

***

Least stable: entry a